1.
# NdHoLuZn

A geometry-optimized NdHoLuZn structure (PBE, Alexandria via LeMat-Bulk).

Space group   F-43m, No. 216

a = 5.3477 Å, b = 5.3477 Å, c = 5.3477 Å
α = 60.00°, β = 60.00°, γ = 60.00°
Fractional positions:
Ho1 0.7500 0.7500 0.7500
Lu1 0.5000 0.5000 0.5000
Zn1 0.0000 0.0000 0.0000
Nd1 0.2500 0.2500 0.2500

2.
# Ho2LuNi

A geometry-optimized Ho2LuNi structure (PBE, Alexandria via LeMat-Bulk).

Space group   P4/mmm, No. 123

a = 3.4447 Å, b = 3.4447 Å, c = 8.3220 Å
α = 90.00°, β = 90.00°, γ = 90.00°
Fractional positions:
Ho1 0.0000 0.0000 0.8075
Ho2 0.0000 0.0000 0.1925
Lu1 0.5000 0.5000 0.5000
Ni1 0.5000 0.5000 0.0000

3.
# Ho3LuNi

A geometry-optimized Ho3LuNi structure (PBE, Alexandria via LeMat-Bulk).

Space group   Pm-3m, No. 221

a = 5.2637 Å, b = 5.2637 Å, c = 5.2637 Å
α = 90.00°, β = 90.00°, γ = 90.00°
Fractional positions:
Ho1 0.5000 0.0000 0.0000
Ho2 0.0000 0.5000 0.0000
Ho3 0.0000 0.0000 0.5000
Lu1 0.5000 0.5000 0.5000
Ni1 0.0000 0.0000 0.0000

no.,total magnetization (μB/f.u.),electronic total energy (eV per atom),formation energy from the elements (eV per atom)
1,0.00,-3.77,0.019
2,0.00,-5.02,-0.160
3,0.01,-4.82,-0.012